A plane-wave DFT calculation with PBE-GGA was carried out for an optimized crystal structure of Y2HoPd3.

Lattice parameters (Å, degrees): 3.438 5.011 15.039 90.00 90.00 90.00
Fractional positions:
Y (0.000, 0.000, 0.667)
Y (0.000, 0.000, 0.333)
Y (0.000, 0.500, 0.167)
Y (0.000, 0.500, 0.833)
Ho (0.001, 0.500, 0.500)
Ho (0.999, 0.000, 0.000)
Pd (0.500, 0.500, 0.664)
Pd (0.501, 0.000, 0.500)
Pd (0.500, 0.500, 0.336)
Pd (0.500, 0.000, 0.164)
Pd (0.499, 0.500, 0.000)
Pd (0.500, 0.000, 0.836)

As for the crystal system: orthorhombic. As for the formation energy: -888 meV/atom. The total magnetic moment is 0.00 μB per cell. As for the space group: No. 59.